(1)
Density functional theory data (PBE-GGA) for crystalline Sb2TeCl at its relaxed geometry.

a b c (Å): 5.991 5.991 5.991
angles (deg): 143.49 117.40 74.69
Atoms (fractional coordinates):
1 Cl 0.250 0.750 0.500
2 Sb 0.997 0.997 0.000
3 Sb 0.503 0.503 0.000
4 Te 0.750 0.250 0.500

Values from the calculation:
distance to the lowest polymorph of the same formula = 235 meV per atom
volume = 27.81 Å³ per atom
energy relative to the elements, uncorrected = 7.46 kJ/mol of atoms
total energy = -3.23 eV per atom



(2)
Density functional theory data (PBE-GGA) for crystalline LiMnBe2 at its relaxed geometry.

a b c (Å): 2.295 2.295 7.564
angles (deg): 90.00 90.00 90.00
Site moments in Bohr magnetons follow the coordinates.
Atoms (fractional coordinates):
1 Be 0.000 0.000 0.009  -0.01
2 Be 0.500 0.500 0.219  0.00
3 Li 0.000 0.000 0.493  -0.01
4 Mn 0.500 0.500 0.779  0.40

Values from the calculation:
volume = 9.96 Å³ per atom
formation energy = 0.1855 eV/atom
total energy = -4.45 eV per atom